No. 1
CaYS3: optimized geometry, PBE.

Output
**SG**: Pm-3m
**Spin magnetization**: 0.00 μB/f.u.
**Energy above the most stable polymorph in this dataset**: 529 meV per atom

Cell lengths 5.029, 5.029, 5.029 Å; angles 90.00, 90.00, 90.00 degrees
Fractional positions:
Ca 0.000 0.000 0.000
Y 0.500 0.500 0.500
S 0.000 0.000 0.500
S 0.000 0.500 0.000
S 0.500 0.000 0.000

***

No. 2
CaY2S4: optimized geometry, PBE.

Output
**SG**: Pnma
**Spin magnetization**: 0.00 μB/f.u.
**Energy above the most stable polymorph in this dataset**: 0 meV per atom

Cell lengths 13.034, 3.909, 13.179 Å; angles 90.00, 90.00, 90.00 degrees
Fractional positions:
Ca 0.130 0.250 0.081
Ca 0.370 0.750 0.581
Ca 0.630 0.250 0.419
Ca 0.870 0.750 0.919
Y 0.108 0.750 0.417
Y 0.146 0.750 0.797
Y 0.354 0.250 0.297
Y 0.392 0.250 0.917
Y 0.608 0.750 0.083
Y 0.646 0.750 0.703
Y 0.854 0.250 0.203
Y 0.892 0.250 0.583
S 0.029 0.250 0.882
S 0.033 0.750 0.617
S 0.218 0.750 0.237
S 0.244 0.250 0.475
S 0.256 0.750 0.975
S 0.282 0.250 0.737
S 0.467 0.250 0.117
S 0.471 0.750 0.382
S 0.529 0.250 0.618
S 0.533 0.750 0.883
S 0.718 0.750 0.263
S 0.744 0.250 0.025
S 0.756 0.750 0.525
S 0.782 0.250 0.763
S 0.967 0.250 0.383
S 0.971 0.750 0.118

***

No. 3
Ca4Y3S8: optimized geometry, PBE.

Output
**Raw total energy**: -6.1010 eV per atom
**SG**: C2/m
**Spin magnetization**: 0.00 μB/f.u.

Cell lengths 7.916, 7.916, 7.925 Å; angles 119.68, 119.68, 90.28 degrees
Fractional positions:
Ca 0.000 0.000 0.000
Ca 0.000 0.500 0.000
Ca 0.500 0.000 0.000
Ca 0.500 0.500 0.500
Y 0.000 0.500 0.500
Y 0.500 0.000 0.500
Y 0.500 0.500 0.000
S 0.251 0.749 0.500
S 0.252 0.252 0.506
S 0.252 0.748 0.000
S 0.259 0.259 0.007
S 0.741 0.741 0.993
S 0.748 0.252 0.000
S 0.748 0.748 0.494
S 0.749 0.251 0.500

***

No. 4
Ca2YS3: optimized geometry, PBE.

Output
**SG**: Fddd
**Spin magnetization**: 0.00 μB/f.u.
**Energy above the most stable polymorph in this dataset**: 0 meV per atom

Cell lengths 13.205, 12.591, 6.905 Å; angles 79.45, 69.62, 30.94 degrees
Fractional positions:
Ca 0.042 0.042 0.208
Ca 0.124 0.124 0.626
Ca 0.208 0.208 0.042
Ca 0.374 0.374 0.876
Ca 0.626 0.626 0.124
Ca 0.792 0.792 0.958
Ca 0.876 0.876 0.374
Ca 0.958 0.958 0.792
Y 0.292 0.292 0.458
Y 0.458 0.458 0.292
Y 0.542 0.542 0.708
Y 0.708 0.708 0.542
S 0.041 0.541 0.214
S 0.130 0.620 0.620
S 0.214 0.704 0.041
S 0.296 0.786 0.459
S 0.380 0.870 0.870
S 0.459 0.959 0.296
S 0.541 0.041 0.704
S 0.620 0.130 0.130
S 0.704 0.214 0.541
S 0.786 0.296 0.959
S 0.870 0.380 0.380
S 0.959 0.459 0.786

***

No. 5
CaYS2: optimized geometry, PBE.

Output
**SG**: I-42d
**Spin magnetization**: 0.00 μB/f.u.
**Energy above the most stable polymorph in this dataset**: 371 meV per atom

Cell lengths 7.587, 7.587, 7.587 Å; angles 131.46, 131.46, 71.08 degrees
Fractional positions:
Ca 0.000 0.000 0.000
Ca 0.750 0.250 0.500
Y 0.250 0.750 0.500
Y 0.500 0.500 0.000
S 0.136 0.625 0.011
S 0.375 0.386 0.511
S 0.614 0.125 0.989
S 0.875 0.864 0.489

***

No. 6
Ca3YS: optimized geometry, PBE.

Output
**SG**: Pm-3m
**Spin magnetization**: 4.83 μB/f.u.
**Energy above the most stable polymorph in this dataset**: 1452 meV per atom

Cell lengths 6.048, 6.048, 6.048 Å; angles 90.00, 90.00, 90.00 degrees
Fractional positions:
Ca 0.000 0.000 0.500
Ca 0.000 0.500 0.000
Ca 0.500 0.000 0.000
Y 0.000 0.000 0.000
S 0.500 0.500 0.500

***

No. 7
CaY2S4: optimized geometry, PBE.

Output
**SG**: Cmcm
**Spin magnetization**: 0.00 μB/f.u.
**Energy above the most stable polymorph in this dataset**: 15 meV per atom

Cell lengths 6.757, 6.757, 13.315 Å; angles 90.00, 90.00, 146.38 degrees
Fractional positions:
Ca 0.113 0.887 0.750
Ca 0.887 0.113 0.250
Y 0.366 0.634 0.571
Y 0.366 0.634 0.929
Y 0.634 0.366 0.071
Y 0.634 0.366 0.429
S 0.000 0.000 0.000
S 0.000 0.000 0.500
S 0.273 0.727 0.118
S 0.273 0.727 0.382
S 0.461 0.539 0.750
S 0.539 0.461 0.250
S 0.727 0.273 0.618
S 0.727 0.273 0.882

***

No. 8
Ca2YS3: optimized geometry, PBE.

Output
**SG**: Immm
**Spin magnetization**: 0.00 μB/f.u.
**Energy above the most stable polymorph in this dataset**: 5 meV per atom

Cell lengths 6.915, 6.915, 6.915 Å; angles 146.61, 131.90, 59.81 degrees
Fractional positions:
Ca 0.168 0.168 0.000
Ca 0.832 0.832 0.000
Y 0.500 0.500 0.000
S 0.000 0.500 0.500
S 0.337 0.837 0.500
S 0.663 0.163 0.500